Below is a crystal of Ba5Li2Te3O15 relaxed with PBEsol, with properties calculated at the SCAN level.

Output
Raw total energy, eV/f.u.: -464.10

abc: 10.0783 10.0783 10.0783
angles: 99.41 99.41 132.29
Positions (direct):
Ba 0.0387 0.3489 0.8987
Ba 0.1399 0.0387 0.6897
Ba 0.2500 0.7500 0.5000
Ba 0.3489 0.4502 0.3103
Ba 0.4502 0.1399 0.1013
Ba 0.5498 0.8601 0.8987
Ba 0.6511 0.5498 0.6897
Ba 0.7500 0.2500 0.5000
Ba 0.8601 0.9613 0.3103
Ba 0.9613 0.6511 0.1013
Li 0.0949 0.6968 0.7917
Li 0.3032 0.0949 0.3981
Li 0.6968 0.9051 0.6019
Li 0.9051 0.3032 0.2083
Te 0.0000 0.0000 0.0000
Te 0.1952 0.4020 0.5971
Te 0.4020 0.8048 0.2068
Te 0.5000 0.5000 0.0000
Te 0.5980 0.1952 0.7932
Te 0.8048 0.5980 0.4029
O 0.0284 0.8297 0.3895
O 0.0463 0.8617 0.9080
O 0.0563 0.3561 0.4124
O 0.1383 0.0463 0.1846
O 0.1595 0.5444 0.7039
O 0.1703 0.5598 0.1987
O 0.2506 0.2654 0.5160
O 0.2577 0.2577 0.0000
O 0.2654 0.7494 0.0148
O 0.3561 0.9437 0.2998
O 0.3593 0.4549 0.8142
O 0.3611 0.9716 0.8013
O 0.4402 0.6389 0.6105
O 0.4549 0.6407 0.0956
O 0.4556 0.1595 0.6151
O 0.5444 0.8405 0.3849
O 0.5451 0.3593 0.9044
O 0.5598 0.3611 0.3895
O 0.6389 0.0284 0.1987
O 0.6407 0.5451 0.1858
O 0.6439 0.0563 0.7002
O 0.7346 0.2506 0.9852
O 0.7423 0.7423 0.0000
O 0.7494 0.7346 0.4840
O 0.8297 0.4402 0.8013
O 0.8405 0.4556 0.2961
O 0.8617 0.9537 0.8154
O 0.9437 0.6439 0.5876
O 0.9537 0.1383 0.0920
O 0.9716 0.1703 0.6105